DFT (PBE) results for a relaxed Sm2Cu3NiGe4 crystal.

Cell lengths 4.1431, 4.1431, 10.1021 Å; angles 90.00, 90.00, 90.00 degrees
Space group P-4m2 (No. 115)
Unique sites:
Sm 0.0000 0.5000 0.2430 [2 per cell]
Cu 0.0000 0.0000 0.0000 [1 per cell]
Cu 0.0000 0.5000 0.6357 [2 per cell]
Ni 0.5000 0.5000 0.0000 [1 per cell]
Ge 0.0000 0.0000 0.5000 [1 per cell]
Ge 0.0000 0.5000 0.8738 [2 per cell]
Ge 0.5000 0.5000 0.5000 [1 per cell]

**ΔE_f**: -0.534 eV per atom